# 1
An optimized crystal structure of PmTlCu, computed with GGA-PBE.

The space group is Pmma (No. 51) and the conventional cell measures 13.552, 4.024 and 7.705 Å, with angles of 90.00, 90.00 and 90.00 degrees. Symmetry generates all atoms from Pm at (0.046, 0.000, 0.236), Pm at (0.250, 0.000, 0.855), Tl at (0.121, 0.500, 0.577), Tl at (0.250, 0.500, 0.191), Cu at (0.087, 0.500, 0.948) and Cu at (0.250, 0.000, 0.445).

The calculation puts the density of states at the Fermi level at 2.05 states/eV/f.u. As for the formation energy: -0.258 eV/atom.

# 2
An optimized crystal structure of NiHgW, computed with GGA-PBE.

The space group is P3m1 (No. 156) and the conventional cell measures 2.8652, 2.8652 and 6.8483 Å, with angles of 90.00, 90.00 and 120.00 degrees. Symmetry generates all atoms from Ni at (0.0000, 0.0000, 0.0000), Hg at (0.6667, 0.3333, 0.6661) and W at (0.3333, 0.6667, 0.2848).

The calculation puts the density of states at the Fermi level at 2.74 states/eV/f.u. As for the formation energy: 0.461 eV/atom.

# 3
An optimized crystal structure of Dy3CdGa, computed with GGA-PBE.

The space group is Cmcm (No. 63) and the conventional cell measures 5.096, 20.239 and 5.095 Å, with angles of 90.00, 90.00 and 90.00 degrees. Symmetry generates all atoms from Dy at (0.000, 0.064, 0.250), Dy at (0.000, 0.250, 0.250), Dy at (0.000, 0.436, 0.250), Cd at (0.000, 0.157, 0.750) and Ga at (0.000, 0.341, 0.750).

The calculation puts the density of states at the Fermi level at 5.64 states/eV/f.u. As for the formation energy: -0.337 eV/atom.

# 4
An optimized crystal structure of KPbS2Cl, computed with GGA-PBE.

The space group is P4/mmm (No. 123) and the conventional cell measures 5.489, 5.489 and 5.440 Å, with angles of 90.00, 90.00 and 90.00 degrees. Symmetry generates all atoms from K at (0.000, 0.000, 0.000), Pb at (0.500, 0.500, 0.500), S at (0.000, 0.500, 0.000) and Cl at (0.000, 0.000, 0.500).

The calculation puts the density of states at the Fermi level at 5.39 states/eV/f.u. The value obtained for the uncorrected formation energy is 1.27 eV per formula unit.

# 5
An optimized crystal structure of CoCu2AgSe, computed with GGA-PBE.

The space group is P4/mmm (No. 123) and the conventional cell measures 4.594, 4.594 and 4.224 Å, with angles of 90.00, 90.00 and 90.00 degrees. Symmetry generates all atoms from Co at (0.000, 0.000, 0.000), Cu at (0.000, 0.500, 0.000), Ag at (0.500, 0.500, 0.500) and Se at (0.000, 0.000, 0.500).

The calculation puts the density of states at the Fermi level at 1.88 states/eV/f.u. The value obtained for the uncorrected formation energy is 2.74 eV per formula unit.

# 6
An optimized crystal structure of TlCr2Cl, computed with GGA-PBE.

The space group is Fm-3m (No. 225) and the conventional cell measures 6.362, 6.362 and 6.362 Å, with angles of 90.00, 90.00 and 90.00 degrees. Symmetry generates all atoms from Tl at (0.000, 0.000, 0.000), Cr at (0.250, 0.250, 0.250) and Cl at (0.000, 0.000, 0.500).

The calculation puts the density of states at the Fermi level at 13.76 states/eV/f.u. The value obtained for the uncorrected formation energy is 4.90 eV per formula unit.

What did the sixth record say?
An optimized crystal structure of TlCr2Cl, computed with GGA-PBE.

The space group is Fm-3m (No. 225) and the conventional cell measures 6.362, 6.362 and 6.362 Å, with angles of 90.00, 90.00 and 90.00 degrees. Symmetry generates all atoms from Tl at (0.000, 0.000, 0.000), Cr at (0.250, 0.250, 0.250) and Cl at (0.000, 0.000, 0.500).

The calculation puts the density of states at the Fermi level at 13.76 states/eV/f.u. The value obtained for the uncorrected formation energy is 4.90 eV per formula unit.